Material: MnCo2Ru
Method: DFT, GGA-PBE
State: optimized geometry

The structure in extended XYZ format:
```
4
Lattice="-1.700 -3.613 -1.185 0.505 -1.501 3.852 -2.633 0.998 0.734" Properties=species:S:1:pos:R:3 pbc="T T T"
Co 0.000 0.000 0.000
Co -0.598 -2.557 1.334
Mn -2.166 -1.307 -0.226
Ru -1.064 -0.251 2.293
```

VASP energy	-8.0035	eV per atom
SG	No. 123
calculated formation energy	15.5	kJ/mol of atoms